# 1
Material: K2SrTe
Method: DFT, PBE-GGA
State: optimized geometry

Cell: 4.426 4.838 20.657 Å, 90.00 90.00 90.00°
Space group Immm (No. 71)
Symmetry-distinct sites (fractional):
K: 0.000 0.000 0.170 [4 per cell]
Sr: 0.000 0.500 0.000 [2 per cell]
Te: 0.000 0.500 0.500 [2 per cell]

As for the formation energy without anion corrections: -0.680 eV/atom.

# 2
Material: Nd6Tl2Pb
Method: DFT, PBE-GGA
State: optimized geometry

Cell: 8.7792 8.7792 4.3668 Å, 90.00 90.00 120.00°
Space group P-62m (No. 189)
Symmetry-distinct sites (fractional):
Nd: 0.0000 0.3959 0.0000 [3 per cell]
Nd: 0.0000 0.7224 0.5000 [3 per cell]
Tl: 0.3333 0.6667 0.5000 [2 per cell]
Pb: 0.0000 0.0000 0.0000 [1 per cell]

As for the energy above the most stable polymorph in this dataset: 0.000 eV per atom.

Number 1: V 442.4 Å³/cell, E_tot -19.48 eV for the cell shown. Number 2: V 291.5 Å³/cell, E_tot -39.82 eV for the cell shown.